Entry 1:
The following is a DFT calculation (PBE) of an optimized crystal structure of BiPIN2.

```
5
Lattice="4.143 0.000 0.000 0.000 4.143 0.000 0.000 0.000 5.140" Properties=species:S:1:pos:R:3 pbc="T T T"
N 0.000 2.071 0.000
N 2.071 0.000 0.000
P 0.000 0.000 0.000
Bi 2.071 2.071 2.570
I 0.000 0.000 2.570
```

Output
Excess energy over the best structure of this formula in the dataset in eV/atom: 0.0000
Spin magnetization in μB per formula unit: 0.39
E_form (uncorrected) in eV/atom: 1.5947

=====

Entry 2:
The following is a DFT calculation (PBE) of an optimized crystal structure of BiPb2IN.

```
5
Lattice="5.399 0.000 0.000 0.000 4.846 0.000 0.000 0.000 5.399" Properties=species:S:1:pos:R:3 pbc="T T T"
I 0.000 2.423 0.000
N 0.000 0.000 0.000
Pb 0.000 0.000 2.699
Pb 2.699 0.000 0.000
Bi 2.699 2.423 2.699
```

Output
Spin magnetization in μB per formula unit: 0.00
E_form (uncorrected) in eV/atom: 0.5538

=====

Entry 3:
The following is a DFT calculation (PBE) of an optimized crystal structure of BiPbI2N.

```
5
Lattice="-1.425 -1.680 -6.019 4.804 -4.243 0.047 -2.638 -2.971 1.454" Properties=species:S:1:pos:R:3 pbc="T T T"
I -0.713 -0.840 -3.009
I 2.402 -2.121 0.023
Pb 0.371 -4.447 -2.259
N -1.319 -1.485 0.727
Bi 0.000 0.000 0.000
```

Output
Excess energy over the best structure of this formula in the dataset in eV/atom: 0.0000
Spin magnetization in μB per formula unit: 0.00
E_form (uncorrected) in eV/atom: 0.5569

=====

Entry 4:
The following is a DFT calculation (PBE) of an optimized crystal structure of BiPbI2N.

```
5
Lattice="6.363 0.000 0.000 0.000 6.363 0.000 0.000 0.000 4.095" Properties=species:S:1:pos:R:3 pbc="T T T"
I 0.000 3.182 0.000
I 3.182 0.000 0.000
N 0.000 0.000 2.048
Bi 3.182 3.182 2.048
Pb 0.000 0.000 0.000
```

Output
Excess energy over the best structure of this formula in the dataset in eV/atom: 0.2604
Spin magnetization in μB per formula unit: 0.16
E_form (uncorrected) in eV/atom: 0.8172

=====

Entry 5:
The following is a DFT calculation (PBE) of an optimized crystal structure of BiPdI2N.

```
5
Lattice="-1.587 -2.286 5.240 5.514 0.824 2.030 -0.956 3.427 1.206" Properties=species:S:1:pos:R:3 pbc="T T T"
Pd 0.000 0.000 0.000
I 2.757 0.412 1.015
I -0.794 -1.143 2.620
Bi 1.485 0.982 4.238
N -0.478 1.714 0.603
```

Output
Excess energy over the best structure of this formula in the dataset in eV/atom: 0.0000
Spin magnetization in μB per formula unit: 0.00
E_form (uncorrected) in eV/atom: 0.6224

=====

Entry 6:
The following is a DFT calculation (PBE) of an optimized crystal structure of BiPdI2N.

```
5
Lattice="-1.527 5.080 3.272 -5.465 0.278 -2.983 -1.760 -2.459 2.995" Properties=species:S:1:pos:R:3 pbc="T T T"
Bi 0.000 0.000 0.000
Pd -4.376 1.450 1.642
N -0.880 -1.229 1.498
I -2.733 0.139 -1.492
I -0.764 2.540 1.636
```

Output
Excess energy over the best structure of this formula in the dataset in eV/atom: 0.4225
Spin magnetization in μB per formula unit: 1.28
E_form (uncorrected) in eV/atom: 1.0450

=====

Entry 7:
The following is a DFT calculation (PBE) of an optimized crystal structure of BiPtIN2.

```
5
Lattice="4.179 0.000 0.000 0.000 4.179 0.000 0.000 0.000 7.412" Properties=species:S:1:pos:R:3 pbc="T T T"
N 2.089 0.000 0.000
N 0.000 2.089 0.000
Pt 2.089 2.089 3.706
Bi 0.000 0.000 0.000
I 0.000 0.000 3.706
```

Output
Excess energy over the best structure of this formula in the dataset in eV/atom: 0.2817
Spin magnetization in μB per formula unit: 1.67
E_form (uncorrected) in eV/atom: 1.7956

=====

Entry 8:
The following is a DFT calculation (PBE) of an optimized crystal structure of BiPtIN2.

```
5
Lattice="4.269 0.000 0.000 0.000 4.269 0.000 0.000 0.000 5.554" Properties=species:S:1:pos:R:3 pbc="T T T"
N 2.135 0.000 0.000
N 0.000 2.135 0.000
I 0.000 0.000 2.777
Pt 0.000 0.000 0.000
Bi 2.135 2.135 2.777
```

Output
Excess energy over the best structure of this formula in the dataset in eV/atom: 0.0000
Spin magnetization in μB per formula unit: 2.32
E_form (uncorrected) in eV/atom: 1.5139

=====

Entry 9:
The following is a DFT calculation (PBE) of an optimized crystal structure of RbBiIN2.

```
5
Lattice="-0.838 -2.776 3.668 4.289 0.876 1.642 -2.382 5.244 3.425" Properties=species:S:1:pos:R:3 pbc="T T T"
Bi 0.000 0.000 0.000
N -0.419 -1.388 1.834
N 2.145 0.438 0.821
I -1.191 2.622 1.712
Rb 0.535 1.672 4.368
```

Output
Excess energy over the best structure of this formula in the dataset in eV/atom: 0.0000
Spin magnetization in μB per formula unit: 2.01
E_form (uncorrected) in eV/atom: 0.8948

=====

Entry 10:
The following is a DFT calculation (PBE) of an optimized crystal structure of RbBiIN2.

```
5
Lattice="-4.478 2.360 1.710 -2.824 -2.734 -3.620 -0.976 -5.310 4.771" Properties=species:S:1:pos:R:3 pbc="T T T"
N -1.412 -1.367 -1.810
N -2.239 1.180 0.855
Rb 0.000 0.000 0.000
Bi -4.139 -2.842 1.431
I -0.488 -2.655 2.386
```

Output
Excess energy over the best structure of this formula in the dataset in eV/atom: 0.9952
Spin magnetization in μB per formula unit: 3.29
E_form (uncorrected) in eV/atom: 1.8900

=====

Entry 11:
The following is a DFT calculation (PBE) of an optimized crystal structure of RbBiI2N.

```
5
Lattice="-0.263 5.864 2.820 -4.249 -2.292 4.371 3.346 -1.129 2.661" Properties=species:S:1:pos:R:3 pbc="T T T"
Bi -0.583 1.222 4.925
N 1.673 -0.565 1.330
I -2.125 -1.146 2.185
I -0.131 2.932 1.410
Rb 0.000 0.000 0.000
```

Output
Excess energy over the best structure of this formula in the dataset in eV/atom: 1.2546
Spin magnetization in μB per formula unit: 0.00
E_form (uncorrected) in eV/atom: 1.2200

=====

Entry 12:
The following is a DFT calculation (PBE) of an optimized crystal structure of RbBiI2N.

```
5
Lattice="6.554 0.000 0.000 0.000 6.554 0.000 0.000 0.000 4.325" Properties=species:S:1:pos:R:3 pbc="T T T"
N 0.000 0.000 2.162
Rb 3.277 3.277 2.162
Bi 0.000 0.000 0.000
I 3.277 0.000 0.000
I 0.000 3.277 0.000
```

Output
Excess energy over the best structure of this formula in the dataset in eV/atom: 0.0000
Spin magnetization in μB per formula unit: 0.27
E_form (uncorrected) in eV/atom: -0.0346

=====

Entry 13:
The following is a DFT calculation (PBE) of an optimized crystal structure of BiRhIN2.

```
5
Lattice="4.212 0.000 0.000 0.000 4.212 0.000 0.000 0.000 7.115" Properties=species:S:1:pos:R:3 pbc="T T T"
I 0.000 0.000 3.557
Rh 2.106 2.106 3.557
N 0.000 2.106 0.000
N 2.106 0.000 0.000
Bi 0.000 0.000 0.000
```

Output
Excess energy over the best structure of this formula in the dataset in eV/atom: 0.4244
Spin magnetization in μB per formula unit: 2.66
E_form (uncorrected) in eV/atom: 1.8378

=====

Entry 14:
The following is a DFT calculation (PBE) of an optimized crystal structure of BiRhIN2.

```
5
Lattice="-3.456 0.853 2.297 -0.172 -4.046 1.244 3.101 1.169 4.231" Properties=species:S:1:pos:R:3 pbc="T T T"
Bi -0.264 -1.012 3.886
N -1.728 0.427 1.149
N -0.086 -2.023 0.622
I 1.550 0.585 2.116
Rh 0.000 0.000 0.000
```

Output
Excess energy over the best structure of this formula in the dataset in eV/atom: 0.0000
Spin magnetization in μB per formula unit: 2.26
E_form (uncorrected) in eV/atom: 1.4134

=====

Entry 15:
The following is a DFT calculation (PBE) of an optimized crystal structure of BiRuIN2.

```
5
Lattice="-2.217 2.479 2.451 0.082 -2.867 2.974 4.621 2.179 1.974" Properties=species:S:1:pos:R:3 pbc="T T T"
I 2.311 1.090 0.987
Ru 0.000 0.000 0.000
N -1.108 1.240 1.226
N 0.041 -1.434 1.487
Bi 1.243 0.896 3.700
```

Output
Excess energy over the best structure of this formula in the dataset in eV/atom: 0.0000
Spin magnetization in μB per formula unit: 0.52
E_form (uncorrected) in eV/atom: 1.3000

=====

Entry 16:
The following is a DFT calculation (PBE) of an optimized crystal structure of BiRuIN2.

```
5
Lattice="-1.994 -3.693 0.584 2.403 -1.773 -3.005 4.803 -1.816 4.912" Properties=species:S:1:pos:R:3 pbc="T T T"
N -0.997 -1.846 0.292
N 1.202 -0.887 -1.503
I 2.402 -0.908 2.456
Bi 0.000 0.000 0.000
Ru 2.606 -3.641 1.246
```

Output
Excess energy over the best structure of this formula in the dataset in eV/atom: 0.7813
Spin magnetization in μB per formula unit: 4.11
E_form (uncorrected) in eV/atom: 2.0814

=====

Entry 17:
The following is a DFT calculation (PBE) of an optimized crystal structure of BiSIN2.

```
5
Lattice="-1.058 -0.039 -4.302 -0.568 -4.390 0.179 -5.617 0.782 1.374" Properties=species:S:1:pos:R:3 pbc="T T T"
S -2.808 0.391 0.687
I -3.621 -1.823 -1.374
N -0.284 -2.195 0.090
N -0.529 -0.019 -2.151
Bi 0.000 0.000 0.000
```

Output
Excess energy over the best structure of this formula in the dataset in eV/atom: 0.0449
Spin magnetization in μB per formula unit: 2.88
E_form (uncorrected) in eV/atom: 1.6223

=====

Entry 18:
The following is a DFT calculation (PBE) of an optimized crystal structure of BiSIN2.

```
5
Lattice="4.163 0.000 0.000 0.000 4.163 0.000 0.000 0.000 5.184" Properties=species:S:1:pos:R:3 pbc="T T T"
N 2.081 0.000 0.000
N 0.000 2.081 0.000
I 0.000 0.000 0.000
Bi 2.081 2.081 2.592
S 0.000 0.000 2.592
```

Output
Excess energy over the best structure of this formula in the dataset in eV/atom: 0.0000
Spin magnetization in μB per formula unit: 0.17
E_form (uncorrected) in eV/atom: 1.5774

=====

Entry 19:
The following is a DFT calculation (PBE) of an optimized crystal structure of BiSIN2.

```
5
Lattice="4.296 0.000 0.000 0.000 4.296 0.000 0.000 0.000 7.415" Properties=species:S:1:pos:R:3 pbc="T T T"
N 2.148 0.000 0.000
N 0.000 2.148 0.000
Bi 0.000 0.000 0.000
S 2.148 2.148 3.708
I 0.000 0.000 3.708
```

Output
Excess energy over the best structure of this formula in the dataset in eV/atom: 0.1336
Spin magnetization in μB per formula unit: 2.19
E_form (uncorrected) in eV/atom: 1.7110

=====

Entry 20:
The following is a DFT calculation (PBE) of an optimized crystal structure of BiSIN2.

```
5
Lattice="4.276 0.000 0.000 0.000 4.276 0.000 0.000 0.000 5.115" Properties=species:S:1:pos:R:3 pbc="T T T"
Bi 2.138 2.138 2.558
I 0.000 0.000 2.558
N 2.138 0.000 0.000
N 0.000 2.138 0.000
S 0.000 0.000 0.000
```

Output
Excess energy over the best structure of this formula in the dataset in eV/atom: 0.3093
Spin magnetization in μB per formula unit: 0.71
E_form (uncorrected) in eV/atom: 1.8867

=====

Entry 21:
The following is a DFT calculation (PBE) of an optimized crystal structure of BiSbIN2.

```
5
Lattice="-4.289 0.526 0.296 -0.354 -3.916 1.817 0.669 2.433 5.372" Properties=species:S:1:pos:R:3 pbc="T T T"
N -0.177 -1.958 0.909
N -2.145 0.263 0.148
Sb 0.000 0.000 0.000
Bi -1.987 -0.479 3.743
I 0.335 1.216 2.686
```

Output
Excess energy over the best structure of this formula in the dataset in eV/atom: 0.0000
Spin magnetization in μB per formula unit: 0.07
E_form (uncorrected) in eV/atom: 1.4359

=====

Entry 22:
The following is a DFT calculation (PBE) of an optimized crystal structure of BiSbIN2.

```
5
Lattice="-2.806 2.799 1.899 0.067 -2.421 3.667 5.349 3.750 2.378" Properties=species:S:1:pos:R:3 pbc="T T T"
I 2.674 1.875 1.189
N -1.403 1.399 0.950
N 0.034 -1.211 1.834
Sb 1.305 2.064 3.972
Bi 0.000 0.000 0.000
```

Output
Excess energy over the best structure of this formula in the dataset in eV/atom: 0.2252
Spin magnetization in μB per formula unit: 0.84
E_form (uncorrected) in eV/atom: 1.6611

=====

Entry 23:
The following is a DFT calculation (PBE) of an optimized crystal structure of BiSeIN2.

```
5
Lattice="-2.281 3.181 1.717 -3.007 -2.796 1.186 2.567 -0.736 4.773" Properties=species:S:1:pos:R:3 pbc="T T T"
I 1.284 -0.368 2.386
Se 0.000 0.000 0.000
N -1.503 -1.398 0.593
N -1.140 1.590 0.859
Bi -1.360 -0.176 3.838
```

Output
Excess energy over the best structure of this formula in the dataset in eV/atom: 0.2706
Spin magnetization in μB per formula unit: 0.00
E_form (uncorrected) in eV/atom: 1.7816

=====

Entry 24:
The following is a DFT calculation (PBE) of an optimized crystal structure of BiSeIN2.

```
5
Lattice="-2.014 1.599 -3.590 2.255 -2.834 -2.527 -4.621 -4.287 0.684" Properties=species:S:1:pos:R:3 pbc="T T T"
N -1.007 0.799 -1.795
N 1.128 -1.417 -1.264
Se -2.311 -2.144 0.342
I -2.190 -2.761 -2.717
Bi 0.000 0.000 0.000
```

Output
Excess energy over the best structure of this formula in the dataset in eV/atom: 0.0000
Spin magnetization in μB per formula unit: 2.57
E_form (uncorrected) in eV/atom: 1.5110

=====

Entry 25:
The following is a DFT calculation (PBE) of an optimized crystal structure of BiSeIN2.

```
5
Lattice="-1.985 1.015 -3.555 1.167 -3.657 -1.696 -4.645 -2.372 1.917" Properties=species:S:1:pos:R:3 pbc="T T T"
N -0.993 0.507 -1.777
N 0.584 -1.828 -0.848
Se -2.323 -1.186 0.959
Bi -2.732 -2.507 -1.667
I 0.000 0.000 0.000
```

Output
Excess energy over the best structure of this formula in the dataset in eV/atom: 0.1113
Spin magnetization in μB per formula unit: 0.00
E_form (uncorrected) in eV/atom: 1.6223

=====

Entry 26:
The following is a DFT calculation (PBE) of an optimized crystal structure of BiSeIN2.

```
5
Lattice="-0.481 0.606 4.271 -3.820 -2.056 -0.139 3.494 -6.580 1.327" Properties=species:S:1:pos:R:3 pbc="T T T"
Se -0.404 -4.015 2.730
I 1.747 -3.290 0.663
N -1.910 -1.028 -0.069
N -0.241 0.303 2.136
Bi 0.000 0.000 0.000
```

Output
Excess energy over the best structure of this formula in the dataset in eV/atom: 0.0765
Spin magnetization in μB per formula unit: 2.19
E_form (uncorrected) in eV/atom: 1.5875

=====

Entry 27:
The following is a DFT calculation (PBE) of an optimized crystal structure of BiSe2IN.

```
5
Lattice="5.682 0.000 0.000 0.000 5.682 0.000 0.000 0.000 4.426" Properties=species:S:1:pos:R:3 pbc="T T T"
Se 2.841 0.000 0.000
Se 0.000 2.841 0.000
I 2.841 2.841 2.213
Bi 0.000 0.000 0.000
N 0.000 0.000 2.213
```

Output
Excess energy over the best structure of this formula in the dataset in eV/atom: 0.0471
Spin magnetization in μB per formula unit: 1.85
E_form (uncorrected) in eV/atom: 1.0697

=====

Entry 28:
The following is a DFT calculation (PBE) of an optimized crystal structure of BiSe2IN.

```
5
Lattice="-0.591 -2.397 5.060 1.669 -5.514 -2.417 5.394 1.123 1.162" Properties=species:S:1:pos:R:3 pbc="T T T"
I 0.835 -2.757 -1.209
Bi 0.000 0.000 0.000
Se 2.697 0.562 0.581
Se -0.296 -1.199 2.530
N 3.236 -3.394 1.903
```

Output
Excess energy over the best structure of this formula in the dataset in eV/atom: 0.2790
Spin magnetization in μB per formula unit: 4.93
E_form (uncorrected) in eV/atom: 1.3016

=====

Entry 29:
The following is a DFT calculation (PBE) of an optimized crystal structure of BiSe2IN.

```
5
Lattice="-0.819 -0.420 5.517 -4.392 -3.342 -0.907 2.377 -3.155 0.113" Properties=species:S:1:pos:R:3 pbc="T T T"
I 0.000 0.000 0.000
Se -2.196 -1.671 -0.453
Se -0.410 -0.210 2.758
Bi -1.418 -3.458 2.361
N 1.188 -1.577 0.056
```

Output
Excess energy over the best structure of this formula in the dataset in eV/atom: 0.0000
Spin magnetization in μB per formula unit: 0.00
E_form (uncorrected) in eV/atom: 1.0226